1.
DFT (PBE) results for a relaxed structure of Pr9Nd2Ho3.

Structure (POSCAR):
```
Pr9Nd2Ho3
1.0
10.866 0.000 0.000
-5.433 9.410 0.000
0.000 0.000 9.960
Pr Nd Ho
18 4 6
Cartesian
-3.529 6.433 0.637
-3.529 6.433 4.343
-2.002 5.639 7.470
1.627 3.138 0.637
1.627 3.138 4.343
3.531 0.160 5.618
3.531 0.160 9.323
1.551 4.857 7.470
0.451 8.325 7.470
4.982 1.085 2.490
3.882 4.553 2.490
1.902 9.250 0.637
1.902 9.250 4.343
3.807 6.273 5.618
3.807 6.273 9.323
7.435 3.772 2.490
8.962 2.978 5.618
8.962 2.978 9.323
0.000 6.274 0.724
0.000 6.274 4.256
5.433 3.137 5.704
5.433 3.137 9.237
-4.401 7.807 7.470
0.873 1.696 7.470
1.905 0.092 2.490
3.528 9.318 7.470
4.561 7.714 2.490
9.834 1.604 2.490
```

The energy relative to the elements is 0.32 eV/atom. The size of the total moment is 0.00 μB/f.u. The calculation puts the density of states at the Fermi level at 1.678 states/eV per atom.

***

2.
DFT (PBE) results for a relaxed structure of NaTi2FeTe.

Structure (POSCAR):
```
NaTi2FeTe
1.0
4.701 0.000 0.000
0.000 4.701 0.000
0.000 0.000 4.403
Na Ti Fe Te
1 2 1 1
Cartesian
0.000 0.000 0.000
0.000 2.350 0.000
2.350 0.000 0.000
0.000 0.000 2.201
2.350 2.350 2.201
```

For the formation energy without anion corrections, the calculation gives 1.528 eV/atom. The size of the total moment is 0.13 μB/f.u. The calculation puts the density of states at the Fermi level at 1.693 states/eV per atom.

***

3.
DFT (PBE) results for a relaxed structure of CrAsRh2.

Structure (POSCAR):
```
CrAsRh2
1.0
2.874 0.000 0.000
0.000 2.874 0.000
0.000 0.000 6.686
Cr As Rh
1 1 2
Cartesian
0.000 0.000 0.000
1.437 1.437 5.138
0.000 0.000 3.629
1.437 1.437 1.564
```

The energy relative to the elements is -0.05 eV/atom. The size of the total moment is 0.00 μB/f.u. The calculation puts the density of states at the Fermi level at 0.878 states/eV per atom.

***

4.
DFT (PBE) results for a relaxed structure of SrCr3Mo.

Structure (POSCAR):
```
SrCr3Mo
1.0
4.863 0.000 0.000
0.000 4.863 0.000
0.000 0.000 4.863
Sr Cr Mo
1 3 1
Cartesian
0.000 0.000 0.000
0.000 0.000 2.431
0.000 2.431 0.000
2.431 0.000 0.000
2.431 2.431 2.431
```

The energy relative to the elements is 2.69 eV/atom. The calculation puts the distance to the lowest polymorph of the same formula at 1687 meV/atom. The size of the total moment is 7.85 μB/f.u. The calculation puts the density of states at the Fermi level at 0.581 states/eV per atom.

***

5.
DFT (PBE) results for a relaxed structure of P2RhBr4.

Structure (POSCAR):
```
P2RhBr4
1.0
5.448 0.000 0.000
0.000 5.448 0.000
0.000 0.000 13.951
P Rh Br
4 2 8
Cartesian
0.000 0.000 1.007
0.000 0.000 12.944
2.724 2.724 5.969
2.724 2.724 7.982
0.000 0.000 6.975
2.724 2.724 0.000
0.000 0.000 4.529
0.000 0.000 9.422
0.000 2.724 0.000
0.000 2.724 6.975
2.724 0.000 0.000
2.724 0.000 6.975
2.724 2.724 2.446
2.724 2.724 11.504
```

For the formation energy without anion corrections, the calculation gives 0.299 eV/atom. The size of the total moment is 0.65 μB/f.u. The calculation puts the density of states at the Fermi level at 1.084 states/eV per atom.

***

6.
DFT (PBE) results for a relaxed structure of CeCoSi3.

Structure (POSCAR):
```
CeCoSi3
1.0
2.113 -7.123 0.000
2.113 7.123 0.000
0.000 0.000 5.677
Ce Co Si
2 2 6
Cartesian
2.113 5.770 4.258
2.113 -5.770 1.419
2.113 1.015 4.258
2.113 -1.015 1.419
2.113 5.488 1.419
2.113 2.955 2.987
2.113 2.955 5.529
2.113 -2.955 0.148
2.113 -2.955 2.691
2.113 -5.488 4.258
```

For the formation energy without anion corrections, the calculation gives -0.263 eV/atom. The size of the total moment is 0.00 μB/f.u. The calculation puts the density of states at the Fermi level at 0.897 states/eV per atom.

***

7.
DFT (PBE) results for a relaxed structure of Th2SnSb4.

Structure (POSCAR):
```
Th2SnSb4
1.0
4.364 0.000 0.000
0.000 4.364 0.000
0.000 0.000 11.629
Th Sn Sb
2 1 4
Cartesian
0.000 2.182 2.474
2.182 0.000 9.156
0.000 0.000 5.815
0.000 0.000 0.000
0.000 2.182 8.143
2.182 0.000 3.487
2.182 2.182 0.000
```

For the formation energy without anion corrections, the calculation gives -0.528 eV/atom. The calculation puts the distance to the lowest polymorph of the same formula at 0 meV/atom. The size of the total moment is 0.00 μB/f.u. The calculation puts the density of states at the Fermi level at 0.686 states/eV per atom.

***

8.
DFT (PBE) results for a relaxed structure of Y2CdCl.

Structure (POSCAR):
```
Y2CdCl
1.0
4.249 0.000 0.000
0.000 4.249 0.000
0.000 0.000 12.002
Y Cd Cl
4 2 2
Cartesian
0.000 0.000 0.000
0.000 2.125 3.000
2.125 0.000 9.001
2.125 2.125 6.001
0.000 2.125 9.001
2.125 0.000 3.000
0.000 0.000 6.001
2.125 2.125 0.000
```

For the formation energy without anion corrections, the calculation gives -0.400 eV/atom. The calculation puts the distance to the lowest polymorph of the same formula at 395 meV/atom. The size of the total moment is 0.64 μB/f.u. The calculation puts the density of states at the Fermi level at 1.191 states/eV per atom.

***

9.
DFT (PBE) results for a relaxed structure of KSrPt10.

Structure (POSCAR):
```
KSrPt10
1.0
4.372 0.000 0.000
0.000 5.512 0.000
0.000 0.000 9.512
K Sr Pt
1 1 10
Cartesian
0.000 0.000 0.000
0.000 2.756 4.756
0.000 0.000 3.168
0.000 0.000 6.344
0.000 2.756 1.585
0.000 2.756 7.927
2.186 0.000 4.756
2.186 1.386 2.398
2.186 1.386 7.114
2.186 2.756 0.000
2.186 4.126 2.398
2.186 4.126 7.114
```

The energy relative to the elements is -0.33 eV/atom. The size of the total moment is 0.00 μB/f.u. The calculation puts the density of states at the Fermi level at 0.689 states/eV per atom.

***

10.
DFT (PBE) results for a relaxed structure of HfTe3Pb.

Structure (POSCAR):
```
HfTe3Pb
1.0
5.583 0.000 0.000
0.000 5.583 0.000
0.000 0.000 5.583
Hf Te Pb
1 3 1
Cartesian
0.000 0.000 0.000
0.000 0.000 2.791
0.000 2.791 0.000
2.791 0.000 0.000
2.791 2.791 2.791
```

For the formation energy without anion corrections, the calculation gives -0.215 eV/atom. The calculation puts the distance to the lowest polymorph of the same formula at 0 meV/atom. The size of the total moment is 0.00 μB/f.u. The calculation puts the density of states at the Fermi level at 0.487 states/eV per atom.

***

11.
DFT (PBE) results for a relaxed structure of CeErPdRh.

Structure (POSCAR):
```
CeErPdRh
1.0
6.987 0.000 0.000
0.000 6.987 0.000
0.000 0.000 6.987
Ce Er Pd Rh
4 4 4 4
Cartesian
0.000 0.000 0.000
0.000 3.493 3.493
3.493 0.000 3.493
3.493 3.493 0.000
0.000 0.000 3.493
0.000 3.493 0.000
3.493 0.000 0.000
3.493 3.493 3.493
1.747 1.747 5.240
1.747 5.240 1.747
5.240 1.747 1.747
5.240 5.240 5.240
1.747 1.747 1.747
1.747 5.240 5.240
5.240 1.747 5.240
5.240 5.240 1.747
```

The energy relative to the elements is -0.75 eV/atom. The calculation puts the distance to the lowest polymorph of the same formula at 94 meV/atom. The size of the total moment is 0.76 μB/f.u. The calculation puts the density of states at the Fermi level at 1.959 states/eV per atom.

***

12.
DFT (PBE) results for a relaxed structure of MgTl8In4.

Structure (POSCAR):
```
MgTl8In4
1.0
6.443 -1.707 0.000
6.443 1.707 0.000
-5.824 0.000 17.296
Mg Tl In
1 8 4
Cartesian
0.000 0.000 0.000
-0.176 0.000 6.981
-1.727 0.000 15.847
5.020 0.000 2.180
1.866 0.000 14.943
4.869 0.000 9.756
7.775 0.000 4.217
6.055 0.000 12.961
9.152 0.000 7.650
-3.265 0.000 12.388
1.329 0.000 10.298
4.118 0.000 5.093
8.827 0.000 1.113
```

The energy relative to the elements is 0.03 eV/atom. The size of the total moment is 0.00 μB/f.u. The calculation puts the density of states at the Fermi level at 0.327 states/eV per atom.